Record 1
Material: MgFeSeN2
Method: DFT, PBE-GGA
State: relaxed

Cell: 3.961 3.961 5.377 Å, 90.00 90.00 90.00°
Positions (direct):
N  0.000  0.500  0.000
N  0.500  0.000  0.000
Mg  0.000  0.000  0.000
Se  0.000  0.000  0.500
Fe  0.500  0.500  0.500

ΔE to the lowest computed polymorph	1098.1	meV per atom
spin magnetization	0.093	μB/atom
electronic total energy	-4.608	eV/atom
volume	84.4	Å³ per cell
DOS at the Fermi energy	6.14	states/eV per cell


Record 2
Material: Tb6Nd3Ho2
Method: DFT, PBE-GGA
State: relaxed

Cell: 3.588 3.588 32.189 Å, 86.81 86.81 60.00°
Positions (direct):
Tb  0.092  0.092  0.723
Tb  0.818  0.818  0.545
Tb  0.182  0.182  0.455
Tb  0.364  0.364  0.908
Tb  0.636  0.636  0.092
Tb  0.908  0.908  0.277
Nd  0.000  0.000  0.000
Nd  0.272  0.272  0.184
Nd  0.728  0.728  0.816
Ho  0.545  0.545  0.366
Ho  0.455  0.455  0.634

ΔE to the lowest computed polymorph	0.0	meV per atom
spin magnetization	0.000	μB/atom
electronic total energy	-4.642	eV/atom
formation energy	16.0	meV per atom
volume	358.1	Å³ per cell
DOS at the Fermi energy	13.86	states/eV per cell


Record 3
Material: ErTl2Zn
Method: DFT, PBE-GGA
State: relaxed

Cell: 3.709 3.709 7.147 Å, 90.00 90.00 90.00°
Positions (direct):
Er  0.500  0.500  0.500
Tl  0.000  0.000  0.776
Tl  0.000  0.000  0.224
Zn  0.500  0.500  0.000

spin magnetization	0.074	μB/atom
electronic total energy	-2.677	eV/atom
formation energy	-34.9	meV per atom
volume	98.3	Å³ per cell
DOS at the Fermi energy	3.15	states/eV per cell


Record 4
Material: Sb2Mo
Method: DFT, PBE-GGA
State: relaxed

Cell: 5.038 5.761 8.840 Å, 90.00 90.00 90.00°
Positions (direct):
Sb  0.250  0.566  0.703
Sb  0.250  0.651  0.055
Sb  0.750  0.434  0.297
Sb  0.250  0.151  0.445
Sb  0.750  0.349  0.945
Sb  0.250  0.066  0.797
Sb  0.750  0.849  0.555
Sb  0.750  0.934  0.203
Mo  0.250  0.137  0.101
Mo  0.750  0.863  0.899
Mo  0.750  0.363  0.601
Mo  0.250  0.637  0.399

spin magnetization	0.000	μB/atom
electronic total energy	-5.956	eV/atom
volume	256.5	Å³ per cell
DOS at the Fermi energy	10.30	states/eV per cell


Record 5
Material: Ac2Al5Pt3
Method: DFT, PBE-GGA
State: relaxed

Cell: 6.290 8.800 8.800 Å, 75.05 69.06 69.06°
Positions (direct):
Pt  0.250  0.000  0.000
Pt  0.376  0.494  0.753
Pt  0.750  0.000  0.000
Pt  0.876  0.753  0.494
Pt  0.624  0.506  0.247
Pt  0.124  0.247  0.506
Ac  0.873  0.376  0.877
Ac  0.127  0.624  0.123
Ac  0.373  0.877  0.376
Ac  0.627  0.123  0.624
Al  0.992  0.258  0.258
Al  0.383  0.247  0.987
Al  0.750  0.500  0.500
Al  0.117  0.013  0.753
Al  0.492  0.258  0.258
Al  0.008  0.742  0.742
Al  0.250  0.500  0.500
Al  0.883  0.987  0.247
Al  0.617  0.753  0.013
Al  0.508  0.742  0.742

spin magnetization	0.000	μB/atom
electronic total energy	-5.457	eV/atom
formation energy	-952.2	meV per atom
volume	420.1	Å³ per cell
DOS at the Fermi energy	10.85	states/eV per cell


Record 6
Material: CoNi
Method: DFT, PBE-GGA
State: relaxed

Cell: 2.483 2.483 4.331 Å, 73.34 73.34 60.00°
Positions (direct):
Co  0.000  0.000  0.000
Ni  0.500  0.500  0.500

spin magnetization	1.181	μB/atom
electronic total energy	-6.435	eV/atom
formation energy	8.8	meV per atom
volume	21.8	Å³ per cell
DOS at the Fermi energy	2.67	states/eV per cell


Number 1: mass density 3.682 g/cm³. Number 2: mass density 7.957 g/cm³. Number 3: mass density 10.831 g/cm³. Number 4: mass density 8.789 g/cm³. Number 5: mass density 9.281 g/cm³. Number 6: mass density 8.952 g/cm³.